[1]
{"formula": "K3Pr2InS6", "functional": "GGA-PBE", "state": "relaxed", "crystal_system": "monoclinic", "cell": [[7.160, -0.002, -0.001], [-3.580, 6.200, -0.001], [-1.195, -2.069, 7.429]], "species": ["K", "K", "K", "Pr", "Pr", "In", "S", "S", "S", "S", "S", "S"], "fractional_positions": [[0.167, 0.833, 0.500], [0.833, 0.167, 0.500], [0.500, 0.500, 0.500], [0.333, 0.667, 0.000], [0.667, 0.333, 0.000], [0.000, 0.000, 0.000], [0.931, 0.613, 0.794], [0.751, 0.751, 0.205], [0.069, 0.387, 0.206], [0.613, 0.931, 0.794], [0.249, 0.249, 0.795], [0.387, 0.069, 0.206]]}


[2]
{"formula": "Tl12Pd5Se3", "functional": "GGA-PBE", "state": "relaxed", "crystal_system": "cubic", "cell": [[14.749, 0.000, 0.000], [-4.916, 13.905, 0.000], [-4.916, -6.953, 12.042]], "species": ["Se", "Se", "Se", "Se", "Se", "Se", "Se", "Se", "Se", "Se", "Se", "Se", "Pd", "Pd", "Pd", "Pd", "Pd", "Pd", "Pd", "Pd", "Pd", "Pd", "Pd", "Pd", "Pd", "Pd", "Pd", "Pd", "Pd", "Pd", "Pd", "Pd", "Tl", "Tl", "Tl", "Tl", "Tl", "Tl", "Tl", "Tl", "Tl", "Tl", "Tl", "Tl", "Tl", "Tl", "Tl", "Tl", "Tl", "Tl", "Tl", "Tl", "Tl", "Tl", "Tl", "Tl", "Tl", "Tl", "Tl", "Tl", "Tl", "Tl", "Tl", "Tl", "Tl", "Tl", "Tl", "Tl", "Tl", "Tl", "Tl", "Tl", "Tl", "Tl", "Tl", "Tl", "Tl", "Tl", "Tl", "Tl"], "fractional_positions": [[0.750, 0.375, 0.125], [0.875, 0.750, 0.125], [0.375, 0.750, 0.625], [0.250, 0.125, 0.375], [0.875, 0.125, 0.250], [0.375, 0.625, 0.250], [0.625, 0.375, 0.750], [0.125, 0.875, 0.750], [0.750, 0.875, 0.625], [0.625, 0.250, 0.375], [0.125, 0.250, 0.875], [0.250, 0.625, 0.875], [0.125, 0.375, 0.250], [0.000, 0.500, 0.000], [0.000, 0.000, 0.000], [0.375, 0.250, 0.125], [0.500, 0.000, 0.500], [0.500, 0.500, 0.000], [0.125, 0.750, 0.375], [0.750, 0.125, 0.875], [0.750, 0.625, 0.375], [0.375, 0.125, 0.750], [0.625, 0.875, 0.250], [0.500, 0.500, 0.500], [0.500, 0.000, 0.000], [0.000, 0.000, 0.500], [0.250, 0.375, 0.625], [0.250, 0.875, 0.125], [0.000, 0.500, 0.500], [0.875, 0.250, 0.625], [0.625, 0.750, 0.875], [0.875, 0.625, 0.750], [0.713, 0.123, 0.040], [0.327, 0.540, 0.417], [0.960, 0.377, 0.287], [0.540, 0.213, 0.123], [0.591, 0.713, 0.673], [0.960, 0.583, 0.173], [0.327, 0.787, 0.409], [0.083, 0.909, 0.123], [0.583, 0.960, 0.673], [0.713, 0.591, 0.173], [0.787, 0.460, 0.377], [0.827, 0.917, 0.040], [0.123, 0.713, 0.540], [0.377, 0.417, 0.091], [0.091, 0.917, 0.377], [0.409, 0.123, 0.583], [0.091, 0.173, 0.213], [0.460, 0.673, 0.083], [0.827, 0.909, 0.287], [0.123, 0.409, 0.083], [0.377, 0.960, 0.787], [0.583, 0.623, 0.409], [0.917, 0.827, 0.540], [0.787, 0.327, 0.909], [0.417, 0.377, 0.591], [0.083, 0.173, 0.460], [0.213, 0.673, 0.091], [0.173, 0.091, 0.713], [0.623, 0.040, 0.213], [0.877, 0.591, 0.917], [0.540, 0.327, 0.917], [0.591, 0.877, 0.417], [0.909, 0.827, 0.787], [0.909, 0.083, 0.623], [0.877, 0.287, 0.460], [0.173, 0.083, 0.960], [0.623, 0.583, 0.909], [0.417, 0.040, 0.327], [0.287, 0.409, 0.827], [0.213, 0.540, 0.623], [0.917, 0.091, 0.877], [0.673, 0.213, 0.591], [0.460, 0.787, 0.877], [0.040, 0.417, 0.827], [0.409, 0.287, 0.327], [0.040, 0.623, 0.713], [0.673, 0.460, 0.583], [0.287, 0.877, 0.960]]}


[3]
{"formula": "NaCaPb14", "functional": "GGA-PBE", "state": "relaxed", "crystal_system": "tetragonal", "cell": [[7.018, -0.015, 0.000], [0.015, 7.018, 0.000], [0.000, 0.000, 10.066]], "species": ["Na", "Ca", "Pb", "Pb", "Pb", "Pb", "Pb", "Pb", "Pb", "Pb", "Pb", "Pb", "Pb", "Pb", "Pb", "Pb"], "fractional_positions": [[0.375, 0.375, 0.500], [0.875, 0.875, 0.500], [0.875, 0.875, 0.000], [0.375, 0.375, 0.000], [0.875, 0.375, 0.500], [0.875, 0.375, 0.000], [0.375, 0.875, 0.500], [0.375, 0.875, 0.000], [0.624, 0.126, 0.250], [0.624, 0.126, 0.750], [0.126, 0.624, 0.250], [0.126, 0.624, 0.750], [0.624, 0.624, 0.250], [0.624, 0.624, 0.750], [0.126, 0.126, 0.250], [0.126, 0.126, 0.750]]}


[4]
{"formula": "SrLa4Mo", "functional": "GGA-PBE", "state": "relaxed", "crystal_system": "cubic", "cell": [[0.000, 4.714, 4.714], [4.714, 0.000, 4.714], [4.714, 4.714, 0.000]], "species": ["Sr", "La", "La", "La", "La", "Mo"], "fractional_positions": [[0.000, 0.000, 0.000], [0.380, 0.859, 0.380], [0.859, 0.380, 0.380], [0.380, 0.380, 0.859], [0.380, 0.380, 0.380], [0.750, 0.750, 0.750]]}


[5]
{"formula": "NaNdGdMg", "functional": "GGA-PBE", "state": "relaxed", "crystal_system": "cubic", "cell": [[5.580, 0.000, 0.000], [2.790, 4.832, 0.000], [2.790, 1.611, 4.556]], "species": ["Na", "Mg", "Gd", "Nd"], "fractional_positions": [[0.750, 0.750, 0.750], [0.250, 0.250, 0.250], [0.500, 0.500, 0.500], [0.000, 0.000, 0.000]]}


[6]
{"formula": "BaMg2AlNi", "functional": "GGA-PBE", "state": "relaxed", "crystal_system": "tetragonal", "cell": [[5.033, 0.000, 0.000], [0.000, 5.033, 0.000], [0.000, 0.000, 4.749]], "species": ["Ni", "Mg", "Mg", "Ba", "Al"], "fractional_positions": [[0.000, 0.000, 0.000], [0.000, 0.500, 0.000], [0.500, 0.000, 0.000], [0.500, 0.500, 0.500], [0.000, 0.000, 0.500]]}


It is found that the theoretical density values, taken in the order of the records, are 3.56, 8.66, 9.93, 5.86, 4.71, 3.75 Mg/m³.
It is found that the electronic total energy values, taken in the order of the records, are -58.23, -264.70, -56.82, -27.57, -21.22, -15.51 eV for the cell shown.